P | Compound: Si3PAu
Source: the Alexandria database
Functional: GGA-PBE
Structure: relaxed

M_tot = 0.00 μB/cell
space group = Pm-3m, No. 221
density of states at the Fermi level = 0.676 states/eV per atom

The structure in POSCAR format:
```
Si3PAu
1.0
4.8067 0.0000 0.0000
0.0000 4.8067 0.0000
0.0000 0.0000 4.8067
P Si Au
1 3 1
Cartesian
2.4034 2.4034 2.4034
0.0000 2.4034 0.0000
0.0000 0.0000 2.4034
2.4034 0.0000 0.0000
0.0000 0.0000 0.0000
```

***

Q | Compound: Si3PAu
Source: the Alexandria database
Functional: GGA-PBE
Structure: relaxed

M_tot = 0.00 μB/cell
space group = Pm-3m, No. 221
density of states at the Fermi level = 0.364 states/eV per atom

The structure in POSCAR format:
```
Si3PAu
1.0
-3.4510 2.8526 0.2571
-1.0745 -1.6627 4.0242
2.6549 3.0350 1.9629
P Si Au
1 3 1
Cartesian
0.0000 0.0000 0.0000
-0.5373 -0.8313 2.0121
1.3275 1.5175 0.9815
-1.7255 1.4263 0.1285
-0.9353 2.1125 3.1221
```

***

Energy above the most stable structure, in eV/atom: P 0.363; Q 0.000

***

P | Compound: Si2PAu2
Source: the Alexandria database
Functional: GGA-PBE
Structure: relaxed

M_tot = 0.00 μB/cell
space group = P4/mbm, No. 127
density of states at the Fermi level = 0.343 states/eV per atom

The structure in POSCAR format:
```
Si2PAu2
1.0
-4.6457 -5.0022 3.6001
-3.4555 -1.6189 -6.7084
1.9381 -2.1458 -0.4805
P Si Au
2 4 4
Cartesian
0.0000 0.0000 0.0000
-4.0506 -3.3105 -1.5542
-1.6868 -2.6409 -3.9506
-4.9456 -5.5805 -3.9676
-4.4762 -6.1260 0.3617
-1.2174 -3.1864 0.3788
-4.2537 -2.8739 -4.3234
-6.1494 -5.1749 -1.6942
-3.8474 -3.7471 1.2150
-1.9517 -1.4462 -1.4142
```

***

Q | Compound: Si2PAu2
Source: the Alexandria database
Functional: GGA-PBE
Structure: relaxed

M_tot = 0.00 μB/cell
space group = I4/mmm, No. 139
density of states at the Fermi level = 0.482 states/eV per atom

The structure in POSCAR format:
```
Si2PAu2
1.0
4.0981 0.0000 0.0000
0.0000 4.0981 0.0000
2.0490 2.0490 5.4055
P Si Au
1 2 2
Cartesian
0.0000 0.0000 0.0000
2.0490 2.0490 1.1445
4.0981 4.0981 4.2610
4.0981 2.0490 2.7027
2.0490 4.0981 2.7027
```

***

R | Compound: Si2PAu2
Source: the Alexandria database
Functional: GGA-PBE
Structure: relaxed

M_tot = 0.00 μB/cell
space group = I4/mmm, No. 139
density of states at the Fermi level = 0.367 states/eV per atom

The structure in POSCAR format:
```
Si2PAu2
1.0
3.8278 0.0000 0.0000
0.0000 3.8278 0.0000
1.9139 1.9139 6.1540
P Si Au
1 2 2
Cartesian
0.0000 0.0000 0.0000
3.8278 1.9139 3.0770
1.9139 3.8278 3.0770
1.9139 1.9139 1.3479
3.8278 3.8278 4.8062
```

***

Energy above the most stable structure, in eV/atom: P 0.000; Q 0.028; R 0.039

***

P | Compound: SnPAu
Source: the Alexandria database
Functional: GGA-PBE
Structure: relaxed

M_tot = 0.00 μB/cell
space group = P3_2, No. 145
density of states at the Fermi level = 0.343 states/eV per atom

The structure in POSCAR format:
```
SnPAu
1.0
-2.6710 -0.5186 4.9702
1.6223 -4.6265 -2.8408
6.7276 0.1306 3.6291
Sn P Au
3 3 3
Cartesian
5.3109 -3.4445 1.0008
6.4969 -4.1508 4.1962
2.2025 -1.9153 1.3398
1.8878 -4.5973 2.2060
1.1587 -3.7276 -1.8423
4.4696 -1.3117 2.6700
0.6720 -3.5862 4.0951
2.5885 -0.4004 5.7960
6.2785 -1.4196 4.3606
```

***

Q | Compound: SnPAu
Source: the Alexandria database
Functional: GGA-PBE
Structure: relaxed

M_tot = 0.00 μB/cell
space group = P3m1, No. 156
density of states at the Fermi level = 0.186 states/eV per atom

The structure in POSCAR format:
```
SnPAu
1.0
-0.7045 0.0455 -4.2297
4.1057 -0.7572 -0.6920
-2.7060 -3.2270 0.4160
P Au Sn
1 1 1
Cartesian
1.6949 -1.5714 -1.1644
-0.0736 0.0048 -0.4419
-0.9261 -2.3720 -2.8993
```

***

Energy above the most stable structure, in eV/atom: P 0.052; Q 0.000

***

P | Compound: Sn3PAu
Source: the Alexandria database
Functional: GGA-PBE
Structure: relaxed

M_tot = 0.00 μB/cell
space group = Pm-3m, No. 221
density of states at the Fermi level = 0.703 states/eV per atom

The structure in POSCAR format:
```
Sn3PAu
1.0
5.2030 0.0000 0.0000
0.0000 5.2030 0.0000
0.0000 0.0000 5.2030
P Au Sn
1 1 3
Cartesian
0.0000 0.0000 0.0000
2.6015 2.6015 2.6015
0.0000 2.6015 0.0000
0.0000 0.0000 2.6015
2.6015 0.0000 0.0000
```

***

Q | Compound: Sn3PAu
Source: the Alexandria database
Functional: GGA-PBE
Structure: relaxed

M_tot = 0.00 μB/cell
space group = P2_1/m, No. 11
density of states at the Fermi level = 0.336 states/eV per atom

The structure in POSCAR format:
```
Sn3PAu
1.0
4.0569 0.0000 0.0000
0.0000 7.1451 -2.7483
0.0000 -1.0487 9.2957
Sn P Au
6 2 2
Cartesian
3.0427 1.8726 2.8306
3.0427 2.1893 7.6229
1.0142 0.5923 0.1995
1.0142 0.9089 4.9918
1.0142 4.7552 4.0799
3.0427 5.1715 0.9943
1.0142 3.1864 6.2281
3.0427 6.7404 -1.1540
3.0427 -0.4863 6.4453
1.0142 3.2679 1.3772
```

***

Energy above the most stable structure, in eV/atom: P 0.535; Q 0.000

***

P | Compound: SnPAu2
Source: the Alexandria database
Functional: GGA-PBE
Structure: relaxed

M_tot = 0.00 μB/cell
space group = I-42d, No. 122
density of states at the Fermi level = 0.301 states/eV per atom

The structure in POSCAR format:
```
SnPAu2
1.0
-2.7693 -0.1730 -4.1366
0.7498 -4.9153 -0.2964
-7.2001 -3.7414 1.9778
P Au Sn
2 4 2
Cartesian
-1.0097 -2.5442 -2.2165
-3.7300 -5.6004 -0.2675
-3.1716 -1.6413 -1.7314
-1.9430 -4.0456 -0.6044
-6.0855 -5.1853 -0.2074
-7.2390 -6.7871 -2.3671
0.0000 0.0000 0.0000
-5.4896 -3.2293 -2.1876
```

***

Q | Compound: SnPAu2
Source: the Alexandria database
Functional: GGA-PBE
Structure: relaxed

M_tot = 0.00 μB/cell
space group = Fm-3m, No. 225
density of states at the Fermi level = 0.540 states/eV per atom

The structure in POSCAR format:
```
SnPAu2
1.0
-2.8895 -3.3781 -1.8475
-4.4962 -0.4863 1.6496
-3.7293 1.2723 -2.7655
P Au Sn
1 2 1
Cartesian
0.0000 0.0000 0.0000
-2.7787 -0.6480 -0.7408
-8.3362 -1.9441 -2.2225
-5.5575 -1.2960 -1.4817
```

***

Energy above the most stable structure, in eV/atom: P 0.000; Q 0.245

***

P | Compound: SrP2Au
Source: the Alexandria database
Functional: GGA-PBE
Structure: relaxed

M_tot = 0.00 μB/cell
space group = Cm, No. 8
density of states at the Fermi level = 0.399 states/eV per atom

The structure in POSCAR format:
```
SrP2Au
1.0
-4.3789 -1.8004 -2.7532
-1.5411 -2.7021 -4.5078
-1.2278 -5.2651 0.7198
Au P Sr
1 2 1
Cartesian
-1.9202 -2.1674 -1.9918
-1.3624 -5.1370 0.4363
-5.2163 -7.8079 -4.4242
-3.4507 -4.8042 -3.1121
```

***

Q | Compound: SrP2Au
Source: the Alexandria database
Functional: GGA-PBE
Structure: relaxed

M_tot = 0.00 μB/cell
space group = Cmmm, No. 65
density of states at the Fermi level = 0.336 states/eV per atom

The structure in POSCAR format:
```
SrP2Au
1.0
5.1536 -0.2118 0.0000
0.0190 5.1579 0.0000
0.0000 0.0000 3.1050
Au P Sr
1 2 1
Cartesian
0.0095 2.5790 1.5525
0.0000 0.0000 0.0000
2.5863 2.4731 0.0000
2.5768 -0.1059 1.5525
```

***

R | Compound: SrP2Au
Source: the Alexandria database
Functional: GGA-PBE
Structure: relaxed

M_tot = 0.00 μB/cell
space group = C2/m, No. 12
density of states at the Fermi level = 0.143 states/eV per atom

The structure in POSCAR format:
```
SrP2Au
1.0
5.6481 0.3138 0.4485
3.8686 4.1272 0.4485
1.8638 0.8698 4.9795
Au P Sr
1 2 1
Cartesian
2.8451 1.3277 1.4691
0.7480 0.3490 0.8305
4.9423 2.3063 2.1077
8.5354 3.9831 4.4073
```

***

Energy above the most stable structure, in eV/atom: P 0.163; Q 0.444; R 0.000

***

P | Compound: SrP2Au
Source: the Alexandria database
Functional: GGA-PBE
Structure: relaxed

M_tot = 0.00 μB/cell
space group = R-3m, No. 166
density of states at the Fermi level = 0.424 states/eV per atom

The structure in POSCAR format:
```
SrP2Au
1.0
-5.5698 1.0148 0.9705
-4.3645 -3.1790 1.9595
-3.2736 0.1716 4.7168
Au P Sr
1 2 1
Cartesian
-9.9059 -1.4944 5.7351
-0.6252 -0.0943 0.3620
-5.9787 -0.9020 3.4614
-3.3020 -0.4981 1.9117
```

***

Q | Compound: SrP2Au
Source: the Alexandria database
Functional: GGA-PBE
Structure: relaxed

M_tot = 0.00 μB/cell
space group = P2/m, No. 10
density of states at the Fermi level = 0.268 states/eV per atom

The structure in POSCAR format:
```
SrP2Au
1.0
-1.6363 -3.1456 1.8559
2.3204 -2.8906 -2.8534
4.1298 -0.3606 3.0299
Au P Sr
1 2 1
Cartesian
4.0194 -4.0112 1.0604
2.0860 -2.4145 -2.2532
3.4595 -2.1016 -0.5119
0.7944 -2.3856 0.9721
```

***

R | Compound: SrP2Au
Source: the Alexandria database
Functional: GGA-PBE
Structure: relaxed

M_tot = 0.00 μB/cell
space group = F-43m, No. 216
density of states at the Fermi level = 0.581 states/eV per atom

The structure in POSCAR format:
```
SrP2Au
1.0
-1.5680 3.9031 2.6002
-4.5158 1.8504 -0.7984
-3.5394 -0.5596 3.4079
Au P Sr
1 2 1
Cartesian
-4.8116 2.5969 2.6049
0.0000 0.0000 0.0000
-7.2174 3.8954 3.9073
-2.4058 1.2985 1.3024
```

***

Energy above the most stable structure, in eV/atom: P 0.258; Q 0.000; R 0.633

***

P | Compound: Sr2PAu2
Source: the Alexandria database
Functional: GGA-PBE
Structure: relaxed

M_tot = 0.00 μB/cell
space group = P4/mbm, No. 127
density of states at the Fermi level = 0.450 states/eV per atom

The structure in POSCAR format:
```
Sr2PAu2
1.0
7.6952 0.0000 0.0000
0.0000 7.6952 0.0000
0.0000 0.0000 4.4147
Sr Au P
4 4 2
Cartesian
1.4019 5.2495 2.2074
5.2495 6.2933 2.2074
6.2933 2.4457 2.2074
2.4457 1.4019 2.2074
2.8749 6.7225 0.0000
6.7225 4.8203 0.0000
4.8203 0.9727 0.0000
0.9727 2.8749 0.0000
0.0000 0.0000 0.0000
3.8476 3.8476 0.0000
```

***

Q | Compound: Sr2PAu2
Source: the Alexandria database
Functional: GGA-PBE
Structure: relaxed

M_tot = 0.00 μB/cell
space group = I4/mmm, No. 139
density of states at the Fermi level = 0.689 states/eV per atom

The structure in POSCAR format:
```
Sr2PAu2
1.0
-5.3007 2.7112 1.1559
-2.9089 -5.1953 -1.1540
-3.8007 -2.2443 3.7465
Sr Au P
2 2 1
Cartesian
-6.6031 -0.3875 2.4517
-5.4072 -4.3408 1.2967
-4.0008 -1.5848 1.2821
-8.0096 -3.1435 2.4663
0.0000 0.0000 0.0000
```

***

Energy above the most stable structure, in eV/atom: P 0.000; Q 0.034